No. 1
A plane-wave DFT calculation with PBE was carried out for crystalline AcMgP2Pt5 at its relaxed geometry.

magnetization	0.00	μB per cell
calculated formation energy	-745	kJ/mol of formula units
symmetry	P4/mmm, No. 123
calculated volume	17.821	Å³/atom

```
AcMgP2Pt5
1.0
4.134 0.000 0.000
0.000 4.134 0.000
0.000 0.000 9.383
Ac Mg P Pt
1 1 2 5
direct
0.000 0.000 0.000
0.000 0.000 0.500
0.500 0.500 0.164
0.500 0.500 0.836
0.000 0.500 0.291
0.000 0.500 0.709
0.500 0.000 0.291
0.500 0.000 0.709
0.500 0.500 0.500
```

---

No. 2
A plane-wave DFT calculation with PBE was carried out for crystalline AcMgP2Rh5 at its relaxed geometry.

magnetization	0.00	μB per cell
calculated formation energy	-576	kJ/mol of formula units
symmetry	P4/mmm, No. 123
calculated volume	18.472	Å³/atom

```
AcMgP2Rh5
1.0
4.202 0.000 0.000
0.000 4.202 0.000
0.000 0.000 9.417
Ac Mg P Rh
1 1 2 5
direct
0.000 0.000 0.000
0.000 0.000 0.500
0.500 0.500 0.243
0.500 0.500 0.757
0.000 0.500 0.334
0.000 0.500 0.666
0.500 0.000 0.334
0.500 0.000 0.666
0.500 0.500 0.000
```

---

No. 3
A plane-wave DFT calculation with PBE was carried out for crystalline AcMgPRh6 at its relaxed geometry.

magnetization	0.00	μB per cell
calculated formation energy	-164	kJ/mol of formula units
symmetry	Imma, No. 74
calculated volume	18.008	Å³/atom

```
AcMgPRh6
1.0
-3.014 4.643 5.790
3.014 -4.643 5.790
3.014 4.643 -5.790
Ac Mg P Rh
2 2 2 12
direct
0.428 0.178 0.250
0.572 0.822 0.750
0.000 0.000 0.500
0.000 0.500 0.000
0.000 0.500 0.500
0.500 0.500 0.000
0.115 0.358 0.216
0.115 0.899 0.757
0.180 0.930 0.250
0.302 0.552 0.750
0.358 0.101 0.716
0.358 0.642 0.257
0.642 0.358 0.743
0.642 0.899 0.284
0.698 0.448 0.250
0.820 0.070 0.750
0.885 0.101 0.243
0.885 0.642 0.784
```

---

No. 4
A plane-wave DFT calculation with PBE was carried out for crystalline AcMgP2Rh2 at its relaxed geometry.

magnetization	0.00	μB per cell
calculated formation energy	-524	kJ/mol of formula units
symmetry	P-3m1, No. 164
calculated volume	18.352	Å³/atom

```
AcMgP2Rh2
1.0
4.255 0.000 0.000
-2.127 3.685 0.000
0.000 0.000 7.024
Ac Mg P Rh
1 1 2 2
direct
0.000 0.000 0.000
0.000 0.000 0.500
0.333 0.667 0.282
0.667 0.333 0.718
0.333 0.667 0.628
0.667 0.333 0.372
```

---

No. 5
A plane-wave DFT calculation with PBE was carried out for crystalline AcMg4Pa at its relaxed geometry.

magnetization	0.95	μB per cell
calculated formation energy	103	kJ/mol of formula units
symmetry	F-43m, No. 216
calculated volume	27.040	Å³/atom

```
AcMg4Pa
1.0
0.000 4.329 4.329
4.329 0.000 4.329
4.329 4.329 0.000
Ac Mg Pa
1 4 1
direct
0.000 0.000 0.000
0.128 0.624 0.624
0.624 0.128 0.624
0.624 0.624 0.128
0.624 0.624 0.624
0.250 0.250 0.250
```

---

No. 6
A plane-wave DFT calculation with PBE was carried out for crystalline AcMg2Pa at its relaxed geometry.

magnetization	0.00	μB per cell
calculated formation energy	195	kJ/mol of formula units
symmetry	R-3m, No. 166
calculated volume	30.029	Å³/atom

```
AcMg2Pa
1.0
3.306 0.000 0.000
-1.653 2.863 0.000
0.000 0.000 38.081
Ac Mg Pa
3 6 3
direct
0.000 0.000 0.000
0.333 0.667 0.667
0.667 0.333 0.333
0.000 0.000 0.415
0.000 0.000 0.585
0.333 0.667 0.081
0.333 0.667 0.252
0.667 0.333 0.748
0.667 0.333 0.919
0.000 0.000 0.500
0.333 0.667 0.167
0.667 0.333 0.833
```

---

No. 7
A plane-wave DFT calculation with PBE was carried out for crystalline Ac2MgPaPt6 at its relaxed geometry.

magnetization	0.00	μB per cell
calculated formation energy	-833	kJ/mol of formula units
symmetry	C2/m, No. 12
calculated volume	23.937	Å³/atom

```
Ac2MgPaPt6
1.0
6.296 -2.831 0.000
6.296 2.831 0.000
-5.971 0.000 6.714
Ac Mg Pa Pt
2 1 1 6
direct
0.233 0.233 0.175
0.767 0.767 0.825
0.500 0.500 0.000
0.000 0.000 0.500
0.252 0.742 0.749
0.254 0.254 0.606
0.258 0.748 0.251
0.742 0.252 0.749
0.746 0.746 0.394
0.748 0.258 0.251
```

---

No. 8
A plane-wave DFT calculation with PBE was carried out for crystalline Ac2MgPaS6 at its relaxed geometry.

magnetization	1.02	μB per cell
ΔE_f (raw)	-1.80	eV per atom
symmetry	C2/m, No. 12
calculated volume	25.937	Å³/atom

```
Ac2MgPaS6
1.0
6.150 -3.519 0.000
6.150 3.519 0.000
-4.005 0.000 5.993
Ac Mg Pa S
2 1 1 6
direct
0.243 0.243 0.215
0.757 0.757 0.785
0.500 0.500 0.000
0.000 0.000 0.500
0.189 0.678 0.176
0.254 0.254 0.637
0.322 0.811 0.824
0.678 0.189 0.176
0.746 0.746 0.363
0.811 0.322 0.824
```

---

No. 9
A plane-wave DFT calculation with PBE was carried out for crystalline Ac2MgPb5 at its relaxed geometry.

magnetization	0.00	μB per cell
calculated formation energy	-306	kJ/mol of formula units
symmetry	Pbam, No. 55
calculated volume	31.757	Å³/atom

```
Ac2MgPb5
1.0
7.041 0.000 0.000
0.000 14.086 0.000
0.000 0.000 5.123
Ac Mg Pb
4 2 10
direct
0.228 0.132 0.000
0.272 0.632 0.000
0.728 0.368 0.000
0.772 0.868 0.000
0.000 0.500 0.500
0.500 0.000 0.500
0.000 0.000 0.500
0.010 0.742 0.500
0.227 0.384 0.000
0.273 0.884 0.000
0.490 0.242 0.500
0.500 0.500 0.500
0.510 0.758 0.500
0.727 0.116 0.000
0.773 0.616 0.000
0.990 0.258 0.500
```

---

No. 10
A plane-wave DFT calculation with PBE was carried out for crystalline Ac6MgPb5 at its relaxed geometry.

magnetization	0.00	μB per cell
calculated formation energy	-483	kJ/mol of formula units
symmetry	C2/m, No. 12
calculated volume	35.824	Å³/atom

```
Ac6MgPb5
1.0
4.909 -9.176 0.000
4.909 9.176 0.000
-3.733 0.000 4.772
Ac Mg Pb
6 1 5
direct
0.074 0.413 0.744
0.236 0.236 0.235
0.413 0.074 0.744
0.587 0.926 0.256
0.764 0.764 0.765
0.926 0.587 0.256
0.500 0.500 0.000
0.000 0.000 0.500
0.170 0.830 0.000
0.343 0.657 0.500
0.657 0.343 0.500
0.830 0.170 0.000
```

---

No. 11
A plane-wave DFT calculation with PBE was carried out for crystalline AcMgPb at its relaxed geometry.

magnetization	0.00	μB per cell
distance to the lowest polymorph of the same formula	0.054	eV/atom
calculated formation energy	-108	kJ/mol of formula units
symmetry	P-6m2, No. 187
calculated volume	32.674	Å³/atom

```
AcMgPb
1.0
4.905 0.000 0.000
-2.452 4.248 0.000
0.000 0.000 4.705
Ac Mg Pb
1 1 1
direct
0.000 0.000 0.000
0.667 0.333 0.500
0.333 0.667 0.500
```

---

No. 12
A plane-wave DFT calculation with PBE was carried out for crystalline AcMg4Pb2 at its relaxed geometry.

magnetization	0.00	μB per cell
calculated formation energy	-167	kJ/mol of formula units
symmetry	P4_2/mnm, No. 136
calculated volume	27.570	Å³/atom

```
AcMg4Pb2
1.0
9.004 0.000 0.000
0.000 9.004 0.000
0.000 0.000 4.761
Ac Mg Pb
2 8 4
direct
0.000 0.000 0.000
0.500 0.500 0.500
0.092 0.352 0.500
0.148 0.592 0.000
0.352 0.092 0.500
0.408 0.852 0.000
0.592 0.148 0.000
0.648 0.908 0.500
0.852 0.408 0.000
0.908 0.648 0.500
0.208 0.792 0.500
0.292 0.292 0.000
0.708 0.708 0.000
0.792 0.208 0.500
```

---

No. 13
A plane-wave DFT calculation with PBE was carried out for crystalline Ac2Mg5Pb4 at its relaxed geometry.

magnetization	0.00	μB per cell
calculated formation energy	-173	kJ/mol of formula units
symmetry	Fmmm, No. 69
calculated volume	30.107	Å³/atom

```
Ac2Mg5Pb4
1.0
0.000 5.830 8.651
3.283 0.000 8.651
3.283 5.830 0.000
Ac Mg Pb
2 5 4
direct
0.137 0.137 0.863
0.863 0.863 0.137
0.000 0.000 0.500
0.250 0.250 0.250
0.500 0.500 0.000
0.500 0.500 0.500
0.750 0.750 0.750
0.222 0.503 0.497
0.497 0.778 0.222
0.503 0.222 0.778
0.778 0.497 0.503
```

---

No. 14
A plane-wave DFT calculation with PBE was carried out for crystalline Ac12Mg2Pb5 at its relaxed geometry.

magnetization	0.01	μB per cell
calculated formation energy	-262	kJ/mol of formula units
symmetry	C2/m, No. 12
calculated volume	42.749	Å³/atom

```
Ac12Mg2Pb5
1.0
9.263 -4.219 0.000
9.263 4.219 0.000
-1.215 0.000 10.392
Ac Mg Pb
12 2 5
direct
0.020 0.020 0.308
0.086 0.568 0.879
0.108 0.603 0.416
0.397 0.892 0.584
0.432 0.914 0.121
0.477 0.477 0.174
0.523 0.523 0.826
0.568 0.086 0.879
0.603 0.108 0.416
0.892 0.397 0.584
0.914 0.432 0.121
0.980 0.980 0.692
0.166 0.834 0.000
0.834 0.166 0.000
0.160 0.160 0.856
0.210 0.210 0.372
0.500 0.500 0.500
0.790 0.790 0.628
0.840 0.840 0.144
```

---

No. 15
A plane-wave DFT calculation with PBE was carried out for crystalline Ac3Mg2Pb4 at its relaxed geometry.

magnetization	0.00	μB per cell
distance to the lowest polymorph of the same formula	0.000	eV/atom
calculated formation energy	-379	kJ/mol of formula units
symmetry	C2/m, No. 12
calculated volume	32.906	Å³/atom

```
Ac3Mg2Pb4
1.0
6.590 -2.442 0.000
6.590 2.442 0.000
-3.820 0.000 9.201
Ac Mg Pb
3 2 4
direct
0.000 0.000 0.000
0.377 0.377 0.306
0.623 0.623 0.694
0.309 0.309 0.637
0.691 0.691 0.363
0.082 0.082 0.391
0.294 0.294 0.929
0.706 0.706 0.071
0.918 0.918 0.609
```

---

No. 16
A plane-wave DFT calculation with PBE was carried out for crystalline Ac3MgPb4 at its relaxed geometry.

magnetization	0.00	μB per cell
calculated formation energy	-256	kJ/mol of formula units
symmetry	Immm, No. 71
calculated volume	37.984	Å³/atom

```
Ac3MgPb4
1.0
5.011 0.000 0.000
0.000 6.934 0.000
0.000 0.000 17.491
Ac Mg Pb
6 2 8
direct
0.000 0.000 0.000
0.000 0.500 0.194
0.000 0.500 0.806
0.500 0.000 0.306
0.500 0.000 0.694
0.500 0.500 0.500
0.000 0.000 0.500
0.500 0.500 0.000
0.000 0.283 0.375
0.000 0.283 0.625
0.000 0.717 0.375
0.000 0.717 0.625
0.500 0.217 0.125
0.500 0.217 0.875
0.500 0.783 0.125
0.500 0.783 0.875
```

---

No. 17
A plane-wave DFT calculation with PBE was carried out for crystalline Ac2Mg5Pb3 at its relaxed geometry.

magnetization	0.00	μB per cell
distance to the lowest polymorph of the same formula	0.124	eV/atom
calculated formation energy	-127	kJ/mol of formula units
symmetry	P-4m2, No. 115
calculated volume	30.608	Å³/atom

```
Ac2Mg5Pb3
1.0
4.741 0.000 0.000
0.000 4.741 0.000
0.000 0.000 13.615
Ac Mg Pb
2 5 3
direct
0.000 0.500 0.242
0.500 0.000 0.758
0.000 0.000 0.000
0.000 0.000 0.500
0.000 0.500 0.870
0.500 0.000 0.130
0.500 0.500 0.000
0.000 0.500 0.661
0.500 0.000 0.339
0.500 0.500 0.500
```

---

No. 18
A plane-wave DFT calculation with PBE was carried out for crystalline AcMg5Pb7 at its relaxed geometry.

magnetization	0.00	μB per cell
calculated formation energy	-147	kJ/mol of formula units
symmetry	Imm2, No. 44
calculated volume	28.440	Å³/atom

```
AcMg5Pb7
1.0
-3.122 5.422 5.460
3.122 -5.422 5.460
3.122 5.422 -5.460
Ac Mg Pb
1 5 7
direct
0.000 0.000 0.000
0.000 0.500 0.001
0.000 0.999 0.501
0.499 0.500 0.499
0.499 0.999 0.999
0.772 0.272 0.500
0.185 0.492 0.693
0.227 0.727 0.500
0.350 0.008 0.342
0.355 0.355 0.000
0.666 0.008 0.658
0.669 0.669 0.000
0.799 0.492 0.307
```

---

No. 19
A plane-wave DFT calculation with PBE was carried out for crystalline AcMg2Pb at its relaxed geometry.

magnetization	0.00	μB per cell
distance to the lowest polymorph of the same formula	0.191	eV/atom
calculated formation energy	-29	kJ/mol of formula units
symmetry	Fm-3m, No. 225
calculated volume	29.595	Å³/atom

```
AcMg2Pb
1.0
7.794 0.000 0.000
0.000 7.794 0.000
0.000 0.000 7.794
Ac Mg Pb
4 8 4
direct
0.000 0.000 0.000
0.000 0.500 0.500
0.500 0.000 0.500
0.500 0.500 0.000
0.250 0.250 0.250
0.250 0.250 0.750
0.250 0.750 0.250
0.250 0.750 0.750
0.750 0.250 0.250
0.750 0.250 0.750
0.750 0.750 0.250
0.750 0.750 0.750
0.000 0.000 0.500
0.000 0.500 0.000
0.500 0.000 0.000
0.500 0.500 0.500
```

---

No. 20
A plane-wave DFT calculation with PBE was carried out for crystalline AcMg3Pb3 at its relaxed geometry.

magnetization	0.00	μB per cell
distance to the lowest polymorph of the same formula	0.411	eV/atom
calculated formation energy	145	kJ/mol of formula units
symmetry	Pm-3n, No. 223
calculated volume	34.667	Å³/atom

```
AcMg3Pb3
1.0
7.859 0.000 0.000
0.000 7.859 0.000
0.000 0.000 7.859
Ac Mg Pb
2 6 6
direct
0.000 0.000 0.000
0.500 0.500 0.500
0.000 0.250 0.500
0.000 0.750 0.500
0.250 0.500 0.000
0.500 0.000 0.250
0.500 0.000 0.750
0.750 0.500 0.000
0.000 0.500 0.250
0.000 0.500 0.750
0.250 0.000 0.500
0.500 0.250 0.000
0.500 0.750 0.000
0.750 0.000 0.500
```